TmPa2S3: relaxed, GGA-PBE.

Output
As for the density of states at the Fermi level: 14.10 states/eV/cell. The value obtained for the formation energy without anion corrections is -1699 meV per atom.

Cell lengths 6.606, 6.606, 6.916 Å; angles 99.17, 99.17, 120.30 degrees
Sites, in units of the cell vectors:
S 0.414 0.085 0.242
S 0.915 0.586 0.758
S 0.076 0.410 0.241
S 0.752 0.747 0.242
S 0.253 0.248 0.758
S 0.590 0.924 0.759
Tm 0.000 0.000 0.000
Tm 0.667 0.333 0.000
Pa 0.833 0.167 0.500
Pa 0.500 0.500 0.500
Pa 0.333 0.667 0.000
Pa 0.167 0.833 0.500

LiAg3Pd3O8: relaxed, GGA-PBE.

Output
As for the density of states at the Fermi level: 4.31 states/eV/cell. The value obtained for the formation energy without anion corrections is -434 meV per atom.

Cell lengths 6.162, 6.189, 9.728 Å; angles 131.54, 90.00, 119.86 degrees
Sites, in units of the cell vectors:
Li 0.000 0.000 0.500
O 0.221 0.442 0.337
O 0.291 0.582 0.665
O 0.226 0.941 0.334
O 0.715 0.941 0.334
O 0.709 0.418 0.335
O 0.779 0.558 0.663
O 0.285 0.059 0.666
O 0.774 0.059 0.666
Ag 0.500 0.500 0.000
Ag 0.000 0.500 0.000
Ag 0.000 0.000 0.000
Pd 0.500 0.000 0.500
Pd 0.000 0.500 0.500
Pd 0.500 0.500 0.500

Cr3Tc: relaxed, GGA-PBE.

Output
As for the density of states at the Fermi level: 17.24 states/eV/cell. As for the formation energy from the elements: 0.1902 eV per atom.

Cell lengths 4.929, 8.396, 4.891 Å; angles 90.00, 90.00, 90.00 degrees
Sites, in units of the cell vectors:
Cr 0.244 0.496 0.930
Cr 0.744 0.496 0.570
Cr 0.511 0.250 0.697
Cr 0.989 0.750 0.197
Cr 0.744 0.004 0.570
Cr 0.011 0.250 0.803
Cr 0.256 0.996 0.430
Cr 0.256 0.504 0.430
Cr 0.244 0.004 0.930
Cr 0.489 0.750 0.303
Cr 0.756 0.996 0.070
Cr 0.756 0.504 0.070
Tc 0.982 0.750 0.682
Tc 0.482 0.750 0.818
Tc 0.518 0.250 0.182
Tc 0.018 0.250 0.318